VASP calculation (GGA+U) on a geometry-optimized BaHfNiO2 structure.

Output
The uncorrected energy is -3.912 eV/atom. The magnetization is 0.8 μB per cell. As for the density of states at the Fermi level: 2.909 states/eV/cell. The theoretical density is 4.53 g/cm3.

Lattice parameters (Å, degrees): 4.245 4.245 8.265 90.00 90.00 90.00
Atoms (fractional coordinates):
Ba: 0.000 0.000 0.000
Hf: 0.000 0.000 0.500
Ni: 0.500 0.500 0.500
O: 0.000 0.500 0.000
O: 0.500 0.000 0.000